Here is Tb5TlCd4 after structural relaxation from Alexandria via LeMat-Bulk. Energies are from PBE.

Geometry as POSCAR:
```
Tb5TlCd4
1.0
3.765 0.000 0.000
0.000 3.765 0.000
0.000 0.000 18.896
Tb Tl Cd
5 1 4
direct
0.000 0.000 0.000
0.000 0.000 0.198
0.000 0.000 0.396
0.000 0.000 0.604
0.000 0.000 0.802
0.500 0.500 0.500
0.500 0.500 0.100
0.500 0.500 0.296
0.500 0.500 0.704
0.500 0.500 0.900
```

Computed properties:
calculated density: 9.0 g/cm³
calculated total energy: -3.25 eV/atom
ΔH_f (0 K): -3.27 eV per formula unit
SG: P4/mmm